First-principles (PBE-GGA) data for a geometry-optimized MnTl2Cu structure, as listed in Alexandria via LeMat-Bulk.

Lattice parameters (Å, degrees): 6.2210 6.2210 6.2210 149.93 135.75 54.42
With the nearest neighbours (Å) after each atom.
Sites, in units of the cell vectors:
Tl: 0.0108 0.0108 0.0000  4 Cu 2.88
Tl: 0.7253 0.2253 0.5000  4 Mn 2.94, 2 Cu 3.22, 2 Tl 3.23
Mn: 0.2908 0.7908 0.5000  2 Cu 2.58
Cu: 0.4731 0.4731 0.0000  2 Mn 2.58, 4 Tl 2.88

## Properties
Calculated total energy, eV/f.u.: -16.41
Total magnetization, μB per cell: 3.9
Energy relative to the elements, eV per atom: 0.398